1.
Computed, not measured: a relaxed PmAlFeGe2 crystal at the PBE level of DFT.

Values from the calculation:
M_tot, μB/cell: 0.20
Energy of formation from the pure elements, meV/atom: -426.7
Volume, Å³/cell: 179.9

a b c (Å): 5.656 5.546 5.736
angles (deg): 90.00 90.00 90.00
Sites, in units of the cell vectors:
1 Pm 0.225 0.250 0.500
2 Pm 0.775 0.750 0.500
3 Al 0.648 0.750 0.000
4 Al 0.352 0.250 0.000
5 Fe 0.000 0.000 0.000
6 Fe 0.000 0.500 0.000
7 Ge 0.743 0.250 0.754
8 Ge 0.743 0.250 0.246
9 Ge 0.257 0.750 0.754
10 Ge 0.257 0.750 0.246



2.
Computed, not measured: a relaxed PmAl2Fe2Ge crystal at the PBE level of DFT.

Values from the calculation:
M_tot, μB/cell: 2.99
Energy of formation from the pure elements, meV/atom: -157.8
Volume, Å³/cell: 109.8

a b c (Å): 4.398 4.398 5.678
angles (deg): 90.00 90.00 90.00
Sites, in units of the cell vectors:
1 Pm 0.000 0.000 0.500
2 Al 0.500 0.500 0.750
3 Al 0.500 0.500 0.250
4 Fe 0.500 0.000 0.000
5 Fe 0.000 0.500 0.000
6 Ge 0.000 0.000 0.000



3.
Computed, not measured: a relaxed PrAl2Fe2Ge crystal at the PBE level of DFT.

Values from the calculation:
M_tot, μB/cell: 3.02
Energy of formation from the pure elements, meV/atom: -158.2
Volume, Å³/cell: 111.8

a b c (Å): 4.410 4.410 5.749
angles (deg): 90.00 90.00 90.00
Sites, in units of the cell vectors:
1 Pr 0.000 0.000 0.500
2 Al 0.500 0.500 0.753
3 Al 0.500 0.500 0.247
4 Fe 0.500 0.000 0.000
5 Fe 0.000 0.500 0.000
6 Ge 0.000 0.000 0.000



4.
Computed, not measured: a relaxed Pu3AlFe2Ge6 crystal at the PBE level of DFT.

Values from the calculation:
M_tot, μB/cell: 0.22
Energy of formation from the pure elements, meV/atom: 17.4
Volume, Å³/cell: 236.6

a b c (Å): 6.327 6.327 6.826
angles (deg): 90.00 90.00 120.00
Sites, in units of the cell vectors:
1 Pu 0.333 0.667 0.668
2 Pu 0.667 0.333 0.332
3 Pu 0.000 0.000 0.000
4 Al 0.000 0.000 0.500
5 Fe 0.667 0.333 0.013
6 Fe 0.333 0.667 0.987
7 Ge 0.613 0.806 0.280
8 Ge 0.194 0.387 0.280
9 Ge 0.194 0.806 0.280
10 Ge 0.806 0.613 0.720
11 Ge 0.387 0.194 0.720
12 Ge 0.806 0.194 0.720



5.
Computed, not measured: a relaxed PuAlFeGe2 crystal at the PBE level of DFT.

Values from the calculation:
M_tot, μB/cell: 7.37
Energy of formation from the pure elements, meV/atom: -269.3
Volume, Å³/cell: 87.9

a b c (Å): 3.913 3.913 6.373
angles (deg): 107.88 107.88 90.00
Sites, in units of the cell vectors:
1 Pu 0.000 0.000 0.000
2 Al 0.250 0.750 0.500
3 Fe 0.750 0.250 0.500
4 Ge 0.614 0.614 0.227
5 Ge 0.386 0.386 0.773



6.
Computed, not measured: a relaxed AlFeGeRu crystal at the PBE level of DFT.

Values from the calculation:
M_tot, μB/cell: 0.01
Energy of formation from the pure elements, meV/atom: -312.4
Volume, Å³/cell: 51.1

a b c (Å): 4.165 4.165 4.165
angles (deg): 60.00 60.00 60.00
Sites, in units of the cell vectors:
1 Ru 0.250 0.250 0.250
2 Ge 0.500 0.500 0.500
3 Fe 0.750 0.750 0.750
4 Al 0.000 0.000 0.000



7.
Computed, not measured: a relaxed AlFe2GeSb crystal at the PBE level of DFT.

Values from the calculation:
M_tot, μB/cell: 4.92
E_form (uncorrected), eV per formula unit: 6.21
Volume, Å³/cell: 115.2

a b c (Å): 4.686 5.247 4.686
angles (deg): 90.00 90.00 90.00
Sites, in units of the cell vectors:
1 Sb 0.000 0.000 0.000
2 Ge 0.500 0.500 0.500
3 Fe 0.000 0.000 0.500
4 Fe 0.500 0.000 0.000
5 Al 0.000 0.500 0.000



8.
Computed, not measured: a relaxed SmAl2Fe2Ge crystal at the PBE level of DFT.

Values from the calculation:
M_tot, μB/cell: 2.97
Energy of formation from the pure elements, meV/atom: -153.5
Volume, Å³/cell: 109.2

a b c (Å): 4.395 4.395 5.654
angles (deg): 90.00 90.00 90.00
Sites, in units of the cell vectors:
1 Sm 0.000 0.000 0.500
2 Al 0.500 0.500 0.749
3 Al 0.500 0.500 0.251
4 Fe 0.500 0.000 0.000
5 Fe 0.000 0.500 0.000
6 Ge 0.000 0.000 0.000



9.
Computed, not measured: a relaxed AlFeTcGe crystal at the PBE level of DFT.

Values from the calculation:
M_tot, μB/cell: 0.94
Energy of formation from the pure elements, meV/atom: -141.2
Volume, Å³/cell: 52.6

a b c (Å): 4.205 4.205 4.205
angles (deg): 60.00 60.00 60.00
Sites, in units of the cell vectors:
1 Ge 0.250 0.250 0.250
2 Al 0.750 0.750 0.750
3 Tc 0.500 0.500 0.500
4 Fe 0.000 0.000 0.000



10.
Computed, not measured: a relaxed AlTlFeGe2 crystal at the PBE level of DFT.

Values from the calculation:
M_tot, μB/cell: 1.03
Energy of formation from the pure elements, meV/atom: 143.7
Volume, Å³/cell: 100.4

a b c (Å): 4.595 4.753 4.595
angles (deg): 90.00 90.00 90.00
Sites, in units of the cell vectors:
1 Tl 0.500 0.500 0.500
2 Al 0.000 0.500 0.000
3 Ge 0.000 0.000 0.500
4 Ge 0.500 0.000 0.000
5 Fe 0.000 0.000 0.000



11.
Computed, not measured: a relaxed TmAlFeGe2 crystal at the PBE level of DFT.

Values from the calculation:
M_tot, μB/cell: 0.15
Energy of formation from the pure elements, meV/atom: -413.9
Volume, Å³/cell: 169.7

a b c (Å): 5.575 5.494 5.541
angles (deg): 90.00 90.00 90.00
Sites, in units of the cell vectors:
1 Tm 0.215 0.250 0.500
2 Tm 0.785 0.750 0.500
3 Al 0.646 0.750 0.000
4 Al 0.354 0.250 0.000
5 Fe 0.000 0.000 0.000
6 Fe 0.000 0.500 0.000
7 Ge 0.739 0.250 0.742
8 Ge 0.739 0.250 0.258
9 Ge 0.261 0.750 0.742
10 Ge 0.261 0.750 0.258



12.
Computed, not measured: a relaxed Al2Fe2H crystal at the PBE level of DFT.

Values from the calculation:
M_tot, μB/cell: 1.53
Volume, Å³/cell: 108.0

a b c (Å): 5.208 5.208 3.981
angles (deg): 90.00 90.00 90.00
Sites, in units of the cell vectors:
1 H 0.000 0.000 0.000
2 H 0.500 0.500 0.000
3 Fe 0.339 0.839 0.000
4 Fe 0.839 0.661 0.000
5 Fe 0.661 0.161 0.000
6 Fe 0.161 0.339 0.000
7 Al 0.166 0.666 0.500
8 Al 0.666 0.834 0.500
9 Al 0.834 0.334 0.500
10 Al 0.334 0.166 0.500



The calculation returns the following uncorrected energy values, one per record and in order: -5.6648; -5.7875; -5.7928; -7.5966; -7.4236; -6.8370; -4.6386; -5.7780; -6.9383; -4.6176; -5.5962; -5.5538 eV per atom.
The calculation returns the following density of states at the Fermi level values, one per record and in order: 2.18; 5.31; 5.23; 22.32; 12.99; 3.69; 6.70; 5.36; 4.47; 4.49; 2.30; 3.06 states/eV/f.u..